The following is a DFT calculation (GGA-PBE) of Sr2Ni after structural relaxation.

Summary:
symmetry	Fd-3m
raw total energy	-2.26	eV/atom

Geometry as CIF:
```
data_Sr2Ni
_symmetry_space_group_name_H-M 'P 1'
_symmetry_Int_Tables_number 1
_cell_length_a 8.770
_cell_length_b 8.770
_cell_length_c 8.770
_cell_angle_alpha 60.00
_cell_angle_beta 60.00
_cell_angle_gamma 60.00
loop_
_symmetry_equiv_pos_as_xyz
'x,y,z'
loop_
_atom_site_label
_atom_site_type_symbol
_atom_site_fract_x
_atom_site_fract_y
_atom_site_fract_z
_atom_site_occupancy
Ni1 Ni 0.250 0.250 0.250 1
Ni2 Ni 0.500 0.500 0.500 1
Sr1 Sr 0.375 0.375 0.375 1
Sr2 Sr 0.875 0.375 0.375 1
Sr3 Sr 0.375 0.875 0.375 1
Sr4 Sr 0.375 0.375 0.875 1
```

=====

The following is a DFT calculation (GGA-PBE) of Sm2SiTeO4 after structural relaxation.

Summary:
symmetry	Pbcm
raw total energy	-7.60	eV/atom

Geometry as CIF:
```
data_Sm2SiTeO4
_symmetry_space_group_name_H-M 'P 1'
_symmetry_Int_Tables_number 1
_cell_length_a 6.233
_cell_length_b 7.110
_cell_length_c 11.092
_cell_angle_alpha 90.00
_cell_angle_beta 90.00
_cell_angle_gamma 90.00
loop_
_symmetry_equiv_pos_as_xyz
'x,y,z'
loop_
_atom_site_label
_atom_site_type_symbol
_atom_site_fract_x
_atom_site_fract_y
_atom_site_fract_z
_atom_site_occupancy
O1 O 0.271 0.073 0.035 1
O2 O 0.729 0.573 0.035 1
O3 O 0.948 0.267 0.117 1
O4 O 0.052 0.767 0.117 1
O5 O 0.948 0.267 0.383 1
O6 O 0.052 0.767 0.383 1
O7 O 0.271 0.073 0.465 1
O8 O 0.729 0.573 0.465 1
O9 O 0.271 0.427 0.535 1
O10 O 0.729 0.927 0.535 1
O11 O 0.948 0.233 0.617 1
O12 O 0.052 0.733 0.617 1
O13 O 0.948 0.233 0.883 1
O14 O 0.052 0.733 0.883 1
O15 O 0.271 0.427 0.965 1
O16 O 0.729 0.927 0.965 1
Si1 Si 0.113 0.250 0.000 1
Si2 Si 0.887 0.750 0.000 1
Si3 Si 0.113 0.250 0.500 1
Si4 Si 0.887 0.750 0.500 1
Sm1 Sm 0.611 0.250 0.000 1
Sm2 Sm 0.389 0.750 0.000 1
Sm3 Sm 0.113 0.036 0.250 1
Sm4 Sm 0.887 0.536 0.250 1
Sm5 Sm 0.611 0.250 0.500 1
Sm6 Sm 0.389 0.750 0.500 1
Sm7 Sm 0.113 0.464 0.750 1
Sm8 Sm 0.887 0.964 0.750 1
Te1 Te 0.403 0.417 0.250 1
Te2 Te 0.597 0.917 0.250 1
Te3 Te 0.403 0.083 0.750 1
Te4 Te 0.597 0.583 0.750 1
```

=====

The following is a DFT calculation (GGA-PBE) of Zr4SiBiC2 after structural relaxation.

Summary:
symmetry	P-6m2
raw total energy	-8.45	eV/atom

Geometry as CIF:
```
data_Zr4SiBiC2
_symmetry_space_group_name_H-M 'P 1'
_symmetry_Int_Tables_number 1
_cell_length_a 3.388
_cell_length_b 3.388
_cell_length_c 14.166
_cell_angle_alpha 90.00
_cell_angle_beta 90.00
_cell_angle_gamma 120.00
loop_
_symmetry_equiv_pos_as_xyz
'x,y,z'
loop_
_atom_site_label
_atom_site_type_symbol
_atom_site_fract_x
_atom_site_fract_y
_atom_site_fract_z
_atom_site_occupancy
Bi1 Bi 0.000 0.000 0.000 1
C1 C 0.667 0.333 0.263 1
C2 C 0.667 0.333 0.737 1
Si1 Si 0.333 0.667 0.500 1
Zr1 Zr 0.333 0.667 0.175 1
Zr2 Zr 0.000 0.000 0.353 1
Zr3 Zr 0.000 0.000 0.647 1
Zr4 Zr 0.333 0.667 0.825 1
```

=====

The following is a DFT calculation (GGA-PBE) of RbLuAs after structural relaxation.

Summary:
symmetry	F-43m
raw total energy	-2.69	eV/atom

Geometry as CIF:
```
data_RbLuAs
_symmetry_space_group_name_H-M 'P 1'
_symmetry_Int_Tables_number 1
_cell_length_a 5.235
_cell_length_b 5.235
_cell_length_c 5.235
_cell_angle_alpha 60.00
_cell_angle_beta 60.00
_cell_angle_gamma 60.00
loop_
_symmetry_equiv_pos_as_xyz
'x,y,z'
loop_
_atom_site_label
_atom_site_type_symbol
_atom_site_fract_x
_atom_site_fract_y
_atom_site_fract_z
_atom_site_occupancy
As1 As 0.250 0.250 0.250 1
Lu1 Lu 0.750 0.750 0.750 1
Rb1 Rb 0.000 0.000 0.000 1
```